A relaxed NiPt crystal, computed with GGA-PBE.

```
NiPt
1.0
3.506 0.000 0.000
1.753 3.036 0.000
1.753 1.012 2.863
Pt Ni
1 1
Cartesian
3.506 2.024 1.431
0.000 0.000 0.000
```

Symmetry ... Fm-3m (225)
DFT total energy ... -5.430 eV/atom
E_form ... 0.48 eV/atom
M_tot ... 0.9 μB per formula unit

A relaxed NiPt2 crystal, computed with GGA-PBE.

```
NiPt2
1.0
5.950 0.024 0.000
4.659 3.700 0.000
-5.305 -1.862 1.948
Ni Pt
1 2
Cartesian
5.305 1.862 0.000
1.669 0.586 0.000
8.940 3.139 0.000
```

Symmetry ... I4/mmm (139)
DFT total energy ... -6.039 eV/atom
E_form ... -0.08 eV/atom
M_tot ... 1.5 μB per formula unit

A relaxed Ni4Pt crystal, computed with GGA-PBE.

```
Ni4Pt
1.0
4.556 0.000 0.000
0.000 4.556 0.000
0.000 0.000 4.556
Ni Pt
4 1
Cartesian
0.000 2.278 2.278
2.278 2.278 0.000
0.000 0.000 0.000
2.278 0.000 2.278
2.278 2.278 2.278
```

Symmetry ... Pm-3m (221)
DFT total energy ... -4.400 eV/atom
E_form ... 1.43 eV/atom
M_tot ... 4.2 μB per formula unit

A relaxed NiPt crystal, computed with GGA-PBE.

```
NiPt
1.0
3.718 0.000 0.000
0.000 5.418 0.000
0.000 0.000 8.064
Ni Pt
6 6
Cartesian
0.000 0.072 0.000
0.000 2.637 0.000
1.859 1.354 6.795
1.859 4.063 4.032
1.859 1.354 1.270
1.859 1.354 4.032
1.859 4.063 6.768
0.000 0.030 5.388
1.859 4.063 1.296
0.000 2.679 5.388
0.000 2.679 2.676
0.000 0.030 2.676
```

Symmetry ... Pmmm (47)
DFT total energy ... -5.965 eV/atom
E_form ... -0.05 eV/atom
M_tot ... 1.1 μB per formula unit

A relaxed NiPt2 crystal, computed with GGA-PBE.

```
NiPt2
1.0
-0.413 -1.853 1.992
2.530 0.399 -1.005
1.070 4.643 4.539
Pt Ni
2 1
Cartesian
0.907 0.367 2.429
2.281 2.823 3.097
0.000 0.000 0.000
```

Symmetry ... P-3m1 (164)
DFT total energy ... -6.003 eV/atom
E_form ... -0.05 eV/atom
M_tot ... 1.4 μB per formula unit

A relaxed Ni7Pt5 crystal, computed with GGA-PBE.

```
Ni7Pt5
1.0
5.892 0.004 -0.004
1.803 5.635 -0.001
-1.207 -2.095 4.748
Ni Pt
7 5
Cartesian
5.368 4.500 0.389
5.860 0.047 0.011
6.450 2.273 1.155
5.856 1.241 3.583
3.554 0.136 3.980
1.773 0.064 1.984
4.152 1.191 1.551
2.981 3.445 0.762
2.329 2.282 3.114
4.783 3.436 2.786
1.144 -0.997 4.416
5.262 -0.933 2.344
```

Symmetry ... P1 (1)
DFT total energy ... -5.943 eV/atom
E_form ... -0.05 eV/atom
M_tot ... 6.8 μB per formula unit

A relaxed NiPt2 crystal, computed with GGA-PBE.

```
NiPt2
1.0
-3.737 5.347 -3.049
2.178 -3.366 -3.696
-3.920 -2.663 0.115
Pt Ni
8 4
Cartesian
1.012 -1.628 -1.827
0.175 -1.803 -4.406
-1.974 -0.108 -5.107
-5.578 1.101 -2.260
-0.340 -3.898 -2.801
-2.393 -2.194 -3.318
-3.070 1.519 -3.212
-4.495 -0.638 -4.061
-0.989 -0.083 -2.493
-1.432 -2.132 -0.887
-3.479 -0.595 -1.535
-3.922 -2.644 0.070
```

Symmetry ... C2/c (15)
DFT total energy ... -6.002 eV/atom
E_form ... -0.05 eV/atom
M_tot ... 1.4 μB per formula unit

A relaxed NiPt5 crystal, computed with GGA-PBE.

```
NiPt5
1.0
-1.410 3.742 -2.589
-1.883 -4.301 -0.808
-3.332 0.879 3.086
Pt Ni
5 1
Cartesian
-2.294 -0.994 1.274
-3.862 0.067 -0.721
-1.557 1.063 -1.984
-1.732 -1.634 -1.404
-0.005 0.013 -0.009
-2.136 1.687 0.680
```

Symmetry ... P-62m (189)
DFT total energy ... -5.981 eV/atom
E_form ... 0.02 eV/atom
M_tot ... 2.3 μB per formula unit